Below is an optimized crystal structure of Al3NiPd, with properties calculated at the GGA-PBE level.

The structure in POSCAR format:
```
Al3NiPd
1.0
4.640 0.000 0.000
0.000 4.640 0.000
0.000 0.000 4.640
Al Ni Pd
3 1 1
Cartesian
0.000 0.000 2.320 Al
0.000 2.320 0.000 Al
2.320 0.000 0.000 Al
2.320 2.320 2.320 Ni
0.000 0.000 0.000 Pd
```

Computed properties:
- SG: No. 221
- Density of states at the Fermi level: 0.601 states/eV per atom
- Calculated formation energy: 1.494 eV per formula unit
- Energy relative to the lowest polymorph listed for this composition: 419.8 meV per atom
- V: 99.9 Å³/f.u.

=====

Below is an optimized crystal structure of AlNi2Pd2, with properties calculated at the GGA-PBE level.

The structure in POSCAR format:
```
AlNi2Pd2
1.0
6.440 0.000 0.000
0.000 6.440 0.000
0.000 0.000 3.512
Al Ni Pd
2 4 4
Cartesian
0.000 0.000 0.000 Al
3.220 3.220 0.000 Al
0.951 2.269 1.756 Ni
2.269 5.488 1.756 Ni
4.171 0.951 1.756 Ni
5.488 4.171 1.756 Ni
0.953 4.173 0.000 Pd
2.267 0.953 0.000 Pd
4.173 5.486 0.000 Pd
5.486 2.267 0.000 Pd
```

Computed properties:
- SG: No. 127
- Density of states at the Fermi level: 0.913 states/eV per atom
- Calculated formation energy: -0.283 eV per formula unit
- V: 72.8 Å³/f.u.

=====

Below is an optimized crystal structure of Al2Ni2Pd, with properties calculated at the GGA-PBE level.

The structure in POSCAR format:
```
Al2Ni2Pd
1.0
4.083 0.000 0.000
-2.042 3.536 0.000
0.000 0.000 4.936
Al Ni Pd
2 2 1
Cartesian
0.000 2.357 0.952 Al
2.042 1.179 3.984 Al
0.000 2.357 3.310 Ni
2.042 1.179 1.626 Ni
0.000 0.000 0.000 Pd
```

Computed properties:
- SG: No. 164
- Density of states at the Fermi level: 0.633 states/eV per atom
- Calculated formation energy: -2.008 eV per formula unit
- Energy relative to the lowest polymorph listed for this composition: 181.1 meV per atom
- V: 71.3 Å³/f.u.

=====

Below is an optimized crystal structure of Al6Ni5Pd, with properties calculated at the GGA-PBE level.

The structure in POSCAR format:
```
Al6Ni5Pd
1.0
4.105 0.000 0.000
0.000 5.944 0.000
-2.030 0.000 6.162
Al Ni Pd
6 5 1
Cartesian
0.000 1.424 0.000 Al
0.000 4.520 0.000 Al
0.014 1.457 4.060 Al
0.014 4.487 4.060 Al
2.061 1.457 2.102 Al
2.061 4.487 2.102 Al
0.008 0.000 2.037 Ni
0.006 2.972 2.065 Ni
2.053 0.000 0.000 Ni
2.068 2.972 4.097 Ni
2.067 0.000 4.125 Ni
2.053 2.972 0.000 Pd
```

Computed properties:
- SG: No. 10
- Density of states at the Fermi level: 0.365 states/eV per atom
- Calculated formation energy: -8.164 eV per formula unit
- V: 150.4 Å³/f.u.

=====

Below is an optimized crystal structure of Al2Ni2Pd, with properties calculated at the GGA-PBE level.

The structure in POSCAR format:
```
Al2Ni2Pd
1.0
6.913 0.000 0.000
0.000 6.913 0.000
0.000 0.000 2.720
Al Ni Pd
4 4 2
Cartesian
1.181 2.276 0.000 Al
2.276 5.732 0.000 Al
4.637 1.181 0.000 Al
5.732 4.637 0.000 Al
0.873 4.330 1.360 Ni
2.583 0.873 1.360 Ni
4.330 6.039 1.360 Ni
6.039 2.583 1.360 Ni
0.000 0.000 1.360 Pd
3.456 3.456 1.360 Pd
```

Computed properties:
- SG: No. 127
- Density of states at the Fermi level: 0.438 states/eV per atom
- Calculated formation energy: -2.913 eV per formula unit
- Energy relative to the lowest polymorph listed for this composition: 0.0 meV per atom
- V: 65.0 Å³/f.u.

=====

Below is an optimized crystal structure of Al2Ni4Pd, with properties calculated at the GGA-PBE level.

The structure in POSCAR format:
```
Al2Ni4Pd
1.0
-1.600 1.600 8.877
1.600 -1.600 8.877
1.600 1.600 -8.877
Al Ni Pd
2 4 1
Cartesian
0.000 0.000 1.627 Al
0.000 0.000 16.127 Al
1.600 0.000 4.438 Ni
0.000 0.000 6.272 Ni
0.000 0.000 11.482 Ni
0.000 1.600 4.438 Ni
0.000 0.000 8.877 Pd
```

Computed properties:
- SG: No. 139
- Density of states at the Fermi level: 0.898 states/eV per atom
- Calculated formation energy: -1.622 eV per formula unit
- V: 90.9 Å³/f.u.

=====

Below is an optimized crystal structure of AlNiPd, with properties calculated at the GGA-PBE level.

The structure in POSCAR format:
```
AlNiPd
1.0
-1.450 1.450 9.907
1.450 -1.450 9.907
1.450 1.450 -9.907
Al Ni Pd
2 2 2
Cartesian
0.000 0.000 2.878 Al
0.000 0.000 16.937 Al
0.000 0.000 5.675 Ni
0.000 0.000 14.140 Ni
0.000 0.000 8.579 Pd
0.000 0.000 11.235 Pd
```

Computed properties:
- SG: No. 139
- Density of states at the Fermi level: 0.699 states/eV per atom
- Calculated formation energy: -1.585 eV per formula unit
- V: 41.6 Å³/f.u.

=====

Below is an optimized crystal structure of Al2Ni2Pd, with properties calculated at the GGA-PBE level.

The structure in POSCAR format:
```
Al2Ni2Pd
1.0
-1.680 1.680 6.213
1.680 -1.680 6.213
1.680 1.680 -6.213
Al Ni Pd
2 2 1
Cartesian
0.000 0.000 1.351 Al
0.000 0.000 11.074 Al
1.680 0.000 3.106 Ni
0.000 1.680 3.106 Ni
0.000 0.000 6.213 Pd
```

Computed properties:
- SG: No. 139
- Density of states at the Fermi level: 0.658 states/eV per atom
- Calculated formation energy: -1.763 eV per formula unit
- Energy relative to the lowest polymorph listed for this composition: 230.1 meV per atom
- V: 70.1 Å³/f.u.

=====

Below is an optimized crystal structure of Al4Ni3Pd, with properties calculated at the GGA-PBE level.

The structure in POSCAR format:
```
Al4Ni3Pd
1.0
4.123 0.000 0.000
0.000 4.123 0.000
0.000 0.000 6.000
Al Ni Pd
4 3 1
Cartesian
0.000 2.061 1.432 Al
0.000 2.061 4.568 Al
2.061 0.000 1.432 Al
2.061 0.000 4.568 Al
0.000 0.000 0.000 Ni
0.000 0.000 3.000 Ni
2.061 2.061 0.000 Ni
2.061 2.061 3.000 Pd
```

Computed properties:
- SG: No. 123
- Density of states at the Fermi level: 0.352 states/eV per atom
- Calculated formation energy: -5.525 eV per formula unit
- V: 102.0 Å³/f.u.

=====

Below is an optimized crystal structure of AlNiPd, with properties calculated at the GGA-PBE level.

The structure in POSCAR format:
```
AlNiPd
1.0
3.487 -1.976 0.000
3.487 1.976 0.000
-2.265 0.000 6.194
Al Ni Pd
2 2 2
Cartesian
0.030 0.000 1.333 Al
4.680 0.000 4.861 Al
2.341 0.000 0.492 Ni
2.369 0.000 5.702 Ni
0.016 0.000 3.955 Pd
4.694 0.000 2.240 Pd
```

Computed properties:
- SG: No. 12
- Density of states at the Fermi level: 0.487 states/eV per atom
- Calculated formation energy: -1.407 eV per formula unit
- V: 42.7 Å³/f.u.

=====

Below is an optimized crystal structure of AlNiPd, with properties calculated at the GGA-PBE level.

The structure in POSCAR format:
```
AlNiPd
1.0
4.098 0.000 0.000
-2.049 3.549 0.000
0.000 0.000 2.772
Al Ni Pd
1 1 1
Cartesian
0.000 0.000 0.000 Al
2.049 1.183 0.591 Ni
0.000 2.366 1.745 Pd
```

Computed properties:
- SG: No. 156
- Density of states at the Fermi level: 0.511 states/eV per atom
- Calculated formation energy: -1.468 eV per formula unit
- V: 40.3 Å³/f.u.

=====

Below is an optimized crystal structure of Al8NiPd2, with properties calculated at the GGA-PBE level.

The structure in POSCAR format:
```
Al8NiPd2
1.0
-2.185 3.877 5.023
2.185 -3.877 5.023
2.185 3.877 -5.023
Al Ni Pd
8 1 2
Cartesian
0.000 0.000 1.314 Al
2.185 2.213 -1.478 Al
0.000 2.499 0.000 Al
2.185 2.213 1.478 Al
0.000 1.665 3.545 Al
0.000 5.255 0.000 Al
0.000 1.665 6.502 Al
0.000 0.000 8.733 Al
2.185 0.000 0.000 Ni
2.185 0.000 2.836 Pd
0.000 3.877 2.187 Pd
```

Computed properties:
- SG: No. 71
- Density of states at the Fermi level: 0.313 states/eV per atom
- Calculated formation energy: -3.997 eV per formula unit
- V: 170.2 Å³/f.u.

=====

Below is an optimized crystal structure of PmAlNiPd, with properties calculated at the GGA-PBE level.

The structure in POSCAR format:
```
PmAlNiPd
1.0
2.147 1.240 4.767
-2.147 1.240 4.767
0.000 -2.479 4.767
Pm Al Ni Pd
1 1 1 1
Cartesian
0.000 0.000 0.000 Pm
0.000 0.000 7.252 Al
0.000 0.000 2.922 Ni
0.000 0.000 11.339 Pd
```

Computed properties:
- SG: No. 160
- Density of states at the Fermi level: 0.587 states/eV per atom
- Calculated formation energy: -2.715 eV per formula unit
- Energy relative to the lowest polymorph listed for this composition: 0.0 meV per atom
- V: 76.1 Å³/f.u.

=====

Below is an optimized crystal structure of PmAlNiPd, with properties calculated at the GGA-PBE level.

The structure in POSCAR format:
```
PmAlNiPd
1.0
0.000 3.305 3.305
3.305 0.000 3.305
3.305 3.305 0.000
Pm Al Ni Pd
1 1 1 1
Cartesian
0.000 0.000 0.000 Pm
3.305 3.305 3.305 Al
1.653 1.653 1.653 Ni
4.958 4.958 4.958 Pd
```

Computed properties:
- SG: No. 216
- Density of states at the Fermi level: 0.698 states/eV per atom
- Calculated formation energy: -2.060 eV per formula unit
- Energy relative to the lowest polymorph listed for this composition: 163.9 meV per atom
- V: 72.2 Å³/f.u.

=====

Below is an optimized crystal structure of PmAl3NiPd, with properties calculated at the GGA-PBE level.

The structure in POSCAR format:
```
PmAl3NiPd
1.0
3.092 -6.111 0.000
3.092 6.111 0.000
0.000 0.000 5.775
Pm Al Ni Pd
2 6 2 2
Cartesian
3.092 3.341 4.331 Pm
3.092 -3.341 1.444 Pm
1.324 0.000 0.000 Al
1.324 0.000 2.887 Al
3.092 1.717 1.444 Al
3.092 -1.717 4.331 Al
4.861 0.000 0.000 Al
4.861 0.000 2.887 Al
3.092 0.740 4.331 Ni
3.092 -0.740 1.444 Ni
3.092 4.323 1.444 Pd
3.092 -4.323 4.331 Pd
```

Computed properties:
- SG: No. 63
- Density of states at the Fermi level: 0.457 states/eV per atom
- Calculated formation energy: -3.242 eV per formula unit
- V: 109.1 Å³/f.u.

=====

Below is an optimized crystal structure of Pm2Al5Ni2Pd, with properties calculated at the GGA-PBE level.

The structure in POSCAR format:
```
Pm2Al5Ni2Pd
1.0
9.509 0.000 0.000
0.000 9.509 0.000
0.000 0.000 3.943
Pm Al Ni Pd
4 10 4 2
Cartesian
1.758 2.997 0.000 Pm
2.997 7.751 0.000 Pm
6.513 1.758 0.000 Pm
7.751 6.513 0.000 Pm
0.000 4.755 1.972 Al
0.522 7.558 1.972 Al
1.951 0.522 1.972 Al
2.803 5.277 1.972 Al
4.233 2.803 1.972 Al
4.755 0.000 1.972 Al
5.277 6.706 1.972 Al
6.706 4.233 1.972 Al
7.558 8.987 1.972 Al
8.987 1.951 1.972 Al
1.043 5.798 0.000 Ni
3.711 1.043 0.000 Ni
5.798 8.466 0.000 Ni
8.466 3.711 0.000 Ni
0.000 0.000 0.000 Pd
4.755 4.755 0.000 Pd
```

Computed properties:
- SG: No. 127
- Density of states at the Fermi level: 0.726 states/eV per atom
- Calculated formation energy: -5.505 eV per formula unit
- V: 178.3 Å³/f.u.

=====

Below is an optimized crystal structure of PrAl3NiPd, with properties calculated at the GGA-PBE level.

The structure in POSCAR format:
```
PrAl3NiPd
1.0
3.119 -6.102 0.000
3.119 6.102 0.000
0.000 0.000 5.855
Pr Al Ni Pd
2 6 2 2
Cartesian
3.119 3.307 4.391 Pr
3.119 -3.307 1.464 Pr
1.334 0.000 0.000 Al
1.334 0.000 2.928 Al
3.119 1.736 1.464 Al
3.119 -1.736 4.391 Al
4.904 0.000 0.000 Al
4.904 0.000 2.928 Al
3.119 0.677 4.391 Ni
3.119 -0.677 1.464 Ni
3.119 4.344 1.464 Pd
3.119 -4.344 4.391 Pd
```

Computed properties:
- SG: No. 63
- Density of states at the Fermi level: 0.482 states/eV per atom
- Calculated formation energy: -3.168 eV per formula unit
- V: 111.4 Å³/f.u.

=====

Below is an optimized crystal structure of PrAl4NiPd2, with properties calculated at the GGA-PBE level.

The structure in POSCAR format:
```
PrAl4NiPd2
1.0
2.120 1.224 9.009
-2.120 1.224 9.009
0.000 -2.448 9.009
Pr Al Ni Pd
1 4 1 2
Cartesian
0.000 0.000 0.000 Pr
0.000 0.000 3.687 Al
0.000 0.000 11.030 Al
0.000 0.000 15.998 Al
0.000 0.000 23.341 Al
0.000 0.000 13.514 Ni
0.000 0.000 6.314 Pd
0.000 0.000 20.715 Pd
```

Computed properties:
- SG: No. 166
- Density of states at the Fermi level: 0.568 states/eV per atom
- Calculated formation energy: -5.702 eV per formula unit
- V: 140.2 Å³/f.u.

=====

Below is an optimized crystal structure of AlNiPdPt, with properties calculated at the GGA-PBE level.

The structure in POSCAR format:
```
AlNiPdPt
1.0
0.000 3.025 3.025
3.025 0.000 3.025
3.025 3.025 0.000
Al Ni Pd Pt
1 1 1 1
Cartesian
0.000 0.000 0.000 Al
3.025 3.025 3.025 Ni
4.537 4.537 4.537 Pd
1.512 1.512 1.512 Pt
```

Computed properties:
- SG: No. 216
- Density of states at the Fermi level: 0.844 states/eV per atom
- Calculated formation energy: -2.417 eV per formula unit
- Energy relative to the lowest polymorph listed for this composition: 5.7 meV per atom
- V: 55.4 Å³/f.u.

=====

Below is an optimized crystal structure of Al2NiPdPt5, with properties calculated at the GGA-PBE level.

The structure in POSCAR format:
```
Al2NiPdPt5
1.0
-3.613 3.613 5.535
3.613 -3.613 5.535
3.613 3.613 -5.535
Al Ni Pd Pt
4 2 2 10
Cartesian
4.437 0.824 0.000 Al
0.824 2.788 0.000 Al
2.788 0.824 5.535 Al
-0.824 2.788 5.535 Al
0.000 0.000 2.767 Ni
0.000 0.000 8.302 Ni
3.613 0.000 2.767 Pd
0.000 3.613 2.767 Pd
0.000 0.000 0.000 Pt
2.104 1.508 -1.437 Pt
2.104 -1.508 4.097 Pt
2.104 1.508 1.437 Pt
2.104 -1.508 6.972 Pt
0.000 0.000 5.535 Pt
1.508 5.121 -1.437 Pt
1.508 2.104 4.097 Pt
1.508 5.121 1.437 Pt
1.508 2.104 6.972 Pt
```

Computed properties:
- SG: No. 140
- Density of states at the Fermi level: 1.073 states/eV per atom
- Calculated formation energy: -0.726 eV per formula unit
- V: 144.5 Å³/f.u.